(1)
Below is a relaxed Cs4La3HfTe8 crystal, with properties calculated at the GGA-PBE level.

Computed properties:
raw total energy	-74.24	eV per formula unit
formation energy without anion corrections	-1.3096	eV per atom
total moment	0.005	μB/f.u.
crystal system	trigonal

```
data_Cs4La3HfTe8
_chemical_formula_sum 'Cs12 La9 Hf3 Te24'
_space_group_name_H-M_alt 'R -3 m'
_space_group_IT_number 166
_space_group_name_Hall '-R 3 2"'
_cell_length_a 9.2591
_cell_length_b 9.2591
_cell_length_c 26.8369
_cell_angle_alpha 90.00
_cell_angle_beta 90.00
_cell_angle_gamma 120.00
loop_
_atom_site_label
_atom_site_type_symbol
_atom_site_fract_x
_atom_site_fract_y
_atom_site_fract_z
_atom_site_occupancy
Cs1 Cs 0.0000 0.0000 0.0000 1
Cs2 Cs 0.0000 0.5000 0.0000 1
La1 La 0.0000 0.5000 0.5000 1
Hf1 Hf 0.0000 0.0000 0.5000 1
Te1 Te 0.0000 0.0000 0.2340 1
Te2 Te 0.0263 0.5131 0.2298 1
```

---

(2)
Below is a relaxed CsLi3Hf crystal, with properties calculated at the GGA-PBE level.

Computed properties:
raw total energy	-11.47	eV per formula unit
energy above the lowest structure with this stoichiometry	0.0	meV/atom
total moment	4.406	μB/f.u.
crystal system	cubic

```
data_CsLi3Hf
_chemical_formula_sum 'Cs1 Li3 Hf1'
_space_group_name_H-M_alt 'P m -3 m'
_space_group_IT_number 221
_space_group_name_Hall '-P 4 2 3'
_cell_length_a 5.8875
_cell_length_b 5.8875
_cell_length_c 5.8875
_cell_angle_alpha 90.00
_cell_angle_beta 90.00
_cell_angle_gamma 90.00
loop_
_atom_site_label
_atom_site_type_symbol
_atom_site_fract_x
_atom_site_fract_y
_atom_site_fract_z
_atom_site_occupancy
Cs1 Cs 0.0000 0.0000 0.0000 1
Li1 Li 0.0000 0.5000 0.5000 1
Hf1 Hf 0.5000 0.5000 0.5000 1
```

---

(3)
Below is a relaxed Cs2LiHf crystal, with properties calculated at the GGA-PBE level.

Computed properties:
raw total energy	-8.62	eV per formula unit
total moment	2.811	μB/f.u.
crystal system	cubic

```
data_Cs2LiHf
_chemical_formula_sum 'Cs8 Li4 Hf4'
_space_group_name_H-M_alt 'F m -3 m'
_space_group_IT_number 225
_space_group_name_Hall '-F 4 2 3'
_cell_length_a 9.2943
_cell_length_b 9.2943
_cell_length_c 9.2943
_cell_angle_alpha 90.00
_cell_angle_beta 90.00
_cell_angle_gamma 90.00
loop_
_atom_site_label
_atom_site_type_symbol
_atom_site_fract_x
_atom_site_fract_y
_atom_site_fract_z
_atom_site_occupancy
Cs1 Cs 0.2500 0.2500 0.2500 1
Li1 Li 0.0000 0.0000 0.0000 1
Hf1 Hf 0.0000 0.0000 0.5000 1
```

---

(4)
Below is a relaxed Cs2Li2Hf crystal, with properties calculated at the GGA-PBE level.

Computed properties:
raw total energy	-10.47	eV per formula unit
total moment	1.619	μB/f.u.
crystal system	tetragonal

```
data_Cs2Li2Hf
_chemical_formula_sum 'Cs4 Li4 Hf2'
_space_group_name_H-M_alt 'P 4/m b m'
_space_group_IT_number 127
_space_group_name_Hall '-P 4 2ab'
_cell_length_a 10.4198
_cell_length_b 10.4198
_cell_length_c 3.5718
_cell_angle_alpha 90.00
_cell_angle_beta 90.00
_cell_angle_gamma 90.00
loop_
_atom_site_label
_atom_site_type_symbol
_atom_site_fract_x
_atom_site_fract_y
_atom_site_fract_z
_atom_site_occupancy
Cs1 Cs 0.1364 0.3636 0.0000 1
Li1 Li 0.1750 0.6750 0.5000 1
Hf1 Hf 0.0000 0.0000 0.5000 1
```

---

Question: total moment of number 1 (Cs4La3HfTe8)?
Answer: 0.005 μB/f.u.

---

Question: Among the records above, which one has the highest raw total energy?
Answer: Cs2LiHf

---

Question: total moment of number 4 (Cs2Li2Hf)?
Answer: 1.619 μB/f.u.

---

Question: Which value of raw total energy does entry 2 give?
Answer: -11.47 eV per formula unit